CeMn2FeO6 GGA+U optimized geometry; space-group type = No. 1; size of the total moment = 1.196 μB per atom; mass density = 5625 kg/m3; total energy = -7.63 eV/atom
1.0
5.378 0.006 0.030
2.695 4.698 0.018
2.717 1.571 4.715
O Fe Mn Ce
6 1 2 1
Cartesian
6.115 4.546 3.449
7.022 3.432 1.172
6.295 1.840 3.454
4.282 4.423 1.217
4.815 1.566 1.187
3.867 3.023 3.480
8.068 4.719 2.719
5.393 3.130 2.225
2.715 1.563 4.410
2.685 1.563 0.554